# Tl3PPb

A relaxed structure of Tl3PPb (GGA-PBE, Alexandria via LeMat-Bulk).

Lattice parameters (Å, degrees): 5.3745 5.3745 5.3745 90.00 90.00 90.00
Last column: nearest neighbours and their distance in Å.
Element x y z (fractional)
P1 0.0000 0.0000 0.0000  6 Tl 2.69
Tl1 0.0000 0.5000 0.0000  2 P 2.69
Pb1 0.5000 0.5000 0.5000  12 Tl 3.80
Tl2 0.0000 0.0000 0.5000  2 P 2.69
Tl3 0.5000 0.0000 0.0000  2 P 2.69

Output
formation energy from the elements: 0.37 eV per atom
crystal system: cubic
magnetization: 0.000 μB/cell

---

# SnP2Se

A relaxed structure of SnP2Se (GGA-PBE, Alexandria via LeMat-Bulk).

Lattice parameters (Å, degrees): 4.7714 4.7714 4.7714 60.00 60.00 60.00
Last column: nearest neighbours and their distance in Å.
Element x y z (fractional)
Sn1 0.5000 0.5000 0.5000  8 P 2.92
Se1 0.0000 0.0000 0.0000  8 P 2.92
P1 0.7500 0.7500 0.7500  4 Sn 2.92, 4 Se 2.92
P2 0.2500 0.2500 0.2500  4 Se 2.92, 4 Sn 2.92

Output
crystal system: cubic
magnetization: 0.000 μB/cell
raw formation energy: 585 meV/atom

---

# Tc2SnPS

A relaxed structure of Tc2SnPS (GGA-PBE, Alexandria via LeMat-Bulk).

Lattice parameters (Å, degrees): 5.1656 4.8065 5.1656 90.00 90.00 90.00
Last column: nearest neighbours and their distance in Å.
Element x y z (fractional)
S1 0.5000 0.5000 0.5000  8 Tc 3.53, 4 P 3.65
Sn1 0.0000 0.0000 0.0000  2 P 2.40, 4 Tc 2.58
Tc1 0.0000 0.0000 0.5000  2 Sn 2.58
Tc2 0.5000 0.0000 0.0000  2 Sn 2.58
P1 0.0000 0.5000 0.0000  2 Sn 2.40

Output
crystal system: tetragonal
magnetization: 5.677 μB/cell
raw formation energy: 2005 meV/atom

---

# Sc2Ga5Ni

A relaxed structure of Sc2Ga5Ni (GGA-PBE, Alexandria via LeMat-Bulk).

Lattice parameters (Å, degrees): 5.7122 5.7122 5.7122 89.95 120.03 120.03
Last column: nearest neighbours and their distance in Å.
Element x y z (fractional)
Ga1 0.0000 0.7777 0.2778  6 Ga 2.85-2.86, 2 Ni 2.85-2.86, 4 Sc 2.86
Ni1 0.0000 0.7781 0.7781  8 Ga 2.85-2.86, 4 Sc 2.85
Ga2 0.0000 0.2776 0.2776  4 Sc 2.85, 8 Ga 2.86
Ga3 0.5001 0.2778 0.2778  6 Ga 2.85-2.86, 2 Ni 2.85-2.86, 4 Sc 2.86
Ga4 0.4999 0.7777 0.7777  6 Ga 2.85-2.86, 2 Ni 2.85-2.86, 4 Sc 2.86
Sc1 0.5000 0.2777 0.7777  10 Ga 2.85-2.86, 2 Ni 2.85
Sc2 0.5000 0.7777 0.2777  10 Ga 2.85-2.86, 2 Ni 2.85
Ga5 0.0000 0.2778 0.7777  6 Ga 2.85-2.86, 2 Ni 2.85-2.86, 4 Sc 2.86

Output
formation energy from the elements: -0.49 eV per atom
crystal system: tetragonal
magnetization: 0.000 μB/cell

---

# Re2Ir2Ru

A relaxed structure of Re2Ir2Ru (GGA-PBE, Alexandria via LeMat-Bulk).

Lattice parameters (Å, degrees): 7.4814 7.4814 2.7517 90.00 90.00 90.00
Last column: nearest neighbours and their distance in Å.
Element x y z (fractional)
Ir1 0.1250 0.3750 0.0000  6 Re 2.55-2.64, 3 Ir 2.65-2.75
Ir2 0.6250 0.1250 0.0000  6 Re 2.55-2.64, 3 Ir 2.65-2.75
Ir3 0.3750 0.8750 0.0000  6 Re 2.55-2.64, 3 Ir 2.65-2.75
Ru1 0.0000 0.0000 0.0000  2 Ru 2.75, 4 Ir 2.96
Re1 0.1721 0.6721 0.5000  6 Ir 2.55-2.64, 2 Re 2.75
Ru2 0.5000 0.5000 0.0000  2 Ru 2.75, 4 Ir 2.96
Re2 0.8279 0.3279 0.5000  6 Ir 2.55-2.64, 2 Re 2.75
Re3 0.6721 0.8279 0.5000  6 Ir 2.55-2.64, 2 Re 2.75
Re4 0.3279 0.1721 0.5000  6 Ir 2.55-2.64, 2 Re 2.75
Ir4 0.8750 0.6250 0.0000  6 Re 2.55-2.64, 3 Ir 2.65-2.75

Output
formation energy from the elements: 0.19 eV per atom
crystal system: tetragonal
magnetization: 0.665 μB/cell

---

# Ba2ScCo

A relaxed structure of Ba2ScCo (GGA-PBE, Alexandria via LeMat-Bulk).

Lattice parameters (Å, degrees): 5.9383 5.9383 5.9383 126.60 126.60 78.90
Last column: nearest neighbours and their distance in Å.
Element x y z (fractional)
Ba1 0.5000 0.5000 0.0000  4 Co 3.52, 4 Sc 3.52, 4 Ba 3.77
Co1 0.2500 0.7500 0.5000  8 Ba 3.52, 4 Sc 3.77
Ba2 0.0000 0.0000 0.0000  4 Co 3.52, 4 Sc 3.52, 4 Ba 3.77
Sc1 0.7500 0.2500 0.5000  8 Ba 3.52, 4 Co 3.77

Output
formation energy from the elements: 0.77 eV per atom
crystal system: tetragonal
magnetization: 0.446 μB/cell

---

# AcCeThPb

A relaxed structure of AcCeThPb (GGA-PBE, Alexandria via LeMat-Bulk).

Lattice parameters (Å, degrees): 5.7157 5.7157 5.7157 60.00 60.00 60.00
Last column: nearest neighbours and their distance in Å.
Element x y z (fractional)
Ac1 0.0000 0.0000 0.0000  4 Pb 3.50, 4 Ce 3.50
Ce1 0.7500 0.7500 0.7500  4 Ac 3.50, 4 Th 3.50
Th1 0.5000 0.5000 0.5000  4 Ce 3.50, 4 Pb 3.50
Pb1 0.2500 0.2500 0.2500  4 Ac 3.50, 4 Th 3.50

Output
formation energy from the elements: 0.06 eV per atom
crystal system: cubic
magnetization: 1.642 μB/cell

---

# Pu3In2Sn

A relaxed structure of Pu3In2Sn (GGA-PBE, Alexandria via LeMat-Bulk).

Lattice parameters (Å, degrees): 3.2588 3.2588 14.4766 90.00 90.00 90.00
Last column: nearest neighbours and their distance in Å.
Element x y z (fractional)
Pu1 0.0000 0.0000 0.0000  4 Pu 3.26, 8 In 3.36
Pu2 0.0000 0.0000 0.3373  4 Pu 3.26, 4 Sn 3.30, 4 In 3.35
Sn1 0.5000 0.5000 0.5000  4 Sn 3.26, 8 Pu 3.30
Pu3 0.0000 0.0000 0.6627  4 Pu 3.26, 4 Sn 3.30, 4 In 3.35
In1 0.5000 0.5000 0.8311  4 In 3.26, 8 Pu 3.35-3.36
In2 0.5000 0.5000 0.1689  4 In 3.26, 8 Pu 3.35-3.36

Output
formation energy from the elements: -0.24 eV per atom
crystal system: tetragonal
magnetization: 5.733 μB/cell

---

# Zn2FeH

A relaxed structure of Zn2FeH (GGA-PBE, Alexandria via LeMat-Bulk).

Lattice parameters (Å, degrees): 6.4891 6.4891 5.0520 50.04 50.04 90.00
Last column: nearest neighbours and their distance in Å.
Element x y z (fractional)
H1 0.2500 0.7500 0.5000  4 Zn 2.00, 2 Fe 2.11
Zn1 0.3750 0.4629 0.7500  2 H 2.00
Fe1 0.0000 0.0000 0.0000  2 H 2.11
Zn2 0.5371 0.1250 0.2500  2 H 2.00
Fe2 0.7500 0.2500 0.5000  2 H 2.11
H2 0.5000 0.5000 0.0000  4 Zn 2.00, 2 Fe 2.11
Zn3 0.8750 0.7871 0.7500  2 H 2.00
Zn4 0.2129 0.6250 0.2500  2 H 2.00

Output
calculated total energy: -25.50 eV per cell
crystal system: tetragonal
magnetization: 3.636 μB/cell

---

# TlSbBr2

A relaxed structure of TlSbBr2 (GGA-PBE, Alexandria via LeMat-Bulk).

Lattice parameters (Å, degrees): 6.2068 6.2068 6.1162 77.36 77.36 34.34
Last column: nearest neighbours and their distance in Å.
Element x y z (fractional)
Tl1 0.7773 0.7773 0.8321  5 Br 3.17-3.46, 2 Sb 3.47
Br1 0.2473 0.2473 0.3131  1 Sb 2.61
Sb1 0.4519 0.4519 0.4024  1 Br 2.61
Br2 0.0235 0.0235 0.9524  3 Tl 3.17-3.46, 2 Sb 3.25

Output
crystal system: monoclinic
magnetization: 0.000 μB/cell
raw formation energy: -270 meV/atom

---

# Zr2Pd2Au

A relaxed structure of Zr2Pd2Au (GGA-PBE, Alexandria via LeMat-Bulk).

Lattice parameters (Å, degrees): 7.4568 7.4568 3.4089 90.00 90.00 90.00
Last column: nearest neighbours and their distance in Å.
Element x y z (fractional)
Zr1 0.8254 0.3254 0.5000  6 Pd 2.69-2.85
Zr2 0.3254 0.1746 0.5000  6 Pd 2.69-2.85
Pd1 0.8720 0.6280 0.0000  6 Zr 2.69-2.85, 1 Pd 2.70, 2 Au 2.93
Au1 0.0000 0.0000 0.0000  4 Pd 2.93, 8 Zr 3.24
Zr3 0.6746 0.8254 0.5000  6 Pd 2.69-2.85
Pd2 0.1280 0.3720 0.0000  6 Zr 2.69-2.85, 1 Pd 2.70, 2 Au 2.93
Pd3 0.3720 0.8720 0.0000  6 Zr 2.69-2.85, 1 Pd 2.70, 2 Au 2.93
Au2 0.5000 0.5000 0.0000  4 Pd 2.93, 8 Zr 3.24
Pd4 0.6280 0.1280 0.0000  6 Zr 2.69-2.85, 1 Pd 2.70, 2 Au 2.93
Zr4 0.1746 0.6746 0.5000  6 Pd 2.69-2.85

Output
formation energy from the elements: -0.63 eV per atom
crystal system: tetragonal
magnetization: 0.000 μB/cell

---

# Hf3BeTc

A relaxed structure of Hf3BeTc (GGA-PBE, Alexandria via LeMat-Bulk).

Lattice parameters (Å, degrees): 4.5718 4.5718 4.5718 90.00 90.00 90.00
Last column: nearest neighbours and their distance in Å.
Element x y z (fractional)
Hf1 0.0000 0.5000 0.0000  2 Be 2.29
Be1 0.0000 0.0000 0.0000  6 Hf 2.29
Tc1 0.5000 0.5000 0.5000  12 Hf 3.23
Hf2 0.0000 0.0000 0.5000  2 Be 2.29
Hf3 0.5000 0.0000 0.0000  2 Be 2.29

Output
formation energy from the elements: 0.55 eV per atom
crystal system: cubic
magnetization: 0.000 μB/cell